NaMoF2, optimized geometry, DFT PBE with a Hubbard U; total energy = -0.3305 Ry per atom; crystal system = tetragonal; N(E_F) = 0.179 states/eV/atom; polymorph energy (0 for the lowest one) = 0 meV per atom
1.0
-2.830 2.830 4.714
2.830 -2.830 4.714
2.830 2.830 -4.714
Na Mo F
2 2 4
Direct
0.000 0.000 0.000
0.750 0.250 0.500
0.250 0.750 0.500
0.500 0.500 0.000
0.098 0.625 0.973
0.375 0.348 0.473
0.652 0.125 0.027
0.875 0.902 0.527